No. 1
VASP calculation (PBE-GGA) on crystalline AgS2O at its relaxed geometry.

## Properties
size of the total moment = 0.000 μB per formula unit
total DFT energy (no corrections) = -3.156 eV/atom

abc: 8.4408 8.4408 8.4408
angles: 19.60 19.60 19.60
Positions (direct):
S 0.1022 0.1022 0.1022
S 0.8978 0.8978 0.8978
Ag 0.0000 0.0000 0.0000
O 0.5000 0.5000 0.5000

***

No. 2
VASP calculation (PBE-GGA) on crystalline KGeH2F8 at its relaxed geometry.

## Properties
size of the total moment = 1.119 μB per formula unit
total DFT energy (no corrections) = -4.295 eV/atom

abc: 4.8701 5.0208 7.8400
angles: 64.04 91.35 100.05
Positions (direct):
F 0.4674 0.6821 0.6234
F 0.1186 0.7453 0.2254
Ge 0.0000 0.0000 0.0000
F 0.8766 0.1887 0.1264
F 0.8814 0.2547 0.7746
F 0.1234 0.8113 0.8736
H 0.4242 0.5163 0.7504
F 0.6608 0.7428 0.0543
F 0.5326 0.3179 0.3766
H 0.5758 0.4837 0.2496
F 0.3392 0.2572 0.9457
K 0.0000 0.0000 0.5000

***

No. 3
VASP calculation (PBE-GGA) on crystalline Pa2MnNbN5 at its relaxed geometry.

## Properties
size of the total moment = 0.630 μB per formula unit
total DFT energy (no corrections) = -10.082 eV/atom

abc: 3.2452 6.6728 10.1545
angles: 90.00 90.00 104.07
Positions (direct):
Nb 0.8045 0.6090 0.5071
Mn 0.4676 0.9353 0.4569
Pa 0.1059 0.2119 0.6805
N 0.4876 0.9752 0.7776
N 0.7178 0.4356 0.1614
N 0.3685 0.7371 0.9971
N 0.9527 0.9055 0.5696
N 0.0473 0.0945 0.0696
Nb 0.1955 0.3910 0.0071
N 0.6767 0.3534 0.8657
Mn 0.5324 0.0647 0.9569
Pa 0.1434 0.2868 0.3080
N 0.6315 0.2629 0.4971
N 0.2822 0.5644 0.6614
N 0.3233 0.6466 0.3657
N 0.5124 0.0248 0.2776
Pa 0.8941 0.7881 0.1805
Pa 0.8566 0.7132 0.8080

***

Please write out number 1 again, unchanged.
VASP calculation (PBE-GGA) on crystalline AgS2O at its relaxed geometry.

## Properties
size of the total moment = 0.000 μB per formula unit
total DFT energy (no corrections) = -3.156 eV/atom

abc: 8.4408 8.4408 8.4408
angles: 19.60 19.60 19.60
Positions (direct):
S 0.1022 0.1022 0.1022
S 0.8978 0.8978 0.8978
Ag 0.0000 0.0000 0.0000
O 0.5000 0.5000 0.5000